Entry 1:
The following is a DFT calculation (GGA-PBE) of AgTe2Pt after structural relaxation.

The structure belongs to space group C2/m (No. 12); the cell edges are 6.949, 4.018 and 7.244 Å and the angles 90.00°, 108.41° and 90.00°. Symmetry generates all atoms from Ag at (0.000, 0.000, 0.000), Te at (0.236, 0.000, 0.714) and Pt at (0.000, 0.500, 0.500).

The uncorrected formation energy comes out at -175 meV/atom. Its total energy is -3.97 eV per atom.

---

Entry 2:
The following is a DFT calculation (GGA-PBE) of AgTe2Pt after structural relaxation.

The structure belongs to space group Pmm2 (No. 25); the cell edges are 3.255, 3.803 and 7.940 Å and the angles 90.00°, 90.00° and 90.00°. Symmetry generates all atoms from Ag at (0.000, 0.000, 0.000), Te at (0.000, 0.000, 0.364), Te at (0.500, 0.500, 0.788) and Pt at (0.500, 0.500, 0.224).

The uncorrected formation energy comes out at 7 meV/atom. Its total energy is -3.79 eV per atom.